Entry 1:
The following is a DFT calculation (PBE) of a relaxed structure of TlSi2As.

Cell and atoms, written as CIF:
```
data_TlSi2As
_cell_length_a 3.523
_cell_length_b 3.523
_cell_length_c 6.967
_cell_angle_alpha 90.00
_cell_angle_beta 90.00
_cell_angle_gamma 90.00
_symmetry_space_group_name_H-M 'P 1'
_symmetry_Int_Tables_number 1
loop_
_symmetry_equiv_pos_as_xyz
'x,y,z'
loop_
_atom_site_label
_atom_site_fract_x
_atom_site_fract_y
_atom_site_fract_z
As1 0.500 0.500 0.750
Si1 0.000 0.000 0.926
Si2 0.000 0.000 0.574
Tl1 0.500 0.500 0.250
```

space group: P4/mmm, No. 123
crystal system: tetragonal
final energy: -4.053 eV/atom
ΔE_f (raw): 0.413 eV/atom
total magnetization: 0.00 Bohr magnetons per cell
calculated density: 6.442 Mg/m³

Entry 2:
The following is a DFT calculation (PBE) of a relaxed structure of CsZnPt3.

Cell and atoms, written as CIF:
```
data_CsZnPt3
_cell_length_a 4.868
_cell_length_b 4.868
_cell_length_c 4.868
_cell_angle_alpha 90.00
_cell_angle_beta 90.00
_cell_angle_gamma 90.00
_symmetry_space_group_name_H-M 'P 1'
_symmetry_Int_Tables_number 1
loop_
_symmetry_equiv_pos_as_xyz
'x,y,z'
loop_
_atom_site_label
_atom_site_fract_x
_atom_site_fract_y
_atom_site_fract_z
Cs1 0.500 0.500 0.500
Zn1 0.000 0.000 0.000
Pt1 0.000 0.500 0.000
Pt2 0.000 0.000 0.500
Pt3 0.500 0.000 0.000
```

ΔE_f: 2.556 eV/f.u.
space group: Pm-3m, No. 221
crystal system: cubic
final energy: -3.539 eV/atom
total magnetization: 0.00 Bohr magnetons per cell
calculated density: 11.282 Mg/m³

Entry 3:
The following is a DFT calculation (PBE) of a relaxed structure of YSc2V.

Cell and atoms, written as CIF:
```
data_YSc2V
_cell_length_a 11.026
_cell_length_b 11.026
_cell_length_c 11.026
_cell_angle_alpha 16.69
_cell_angle_beta 16.69
_cell_angle_gamma 16.69
_symmetry_space_group_name_H-M 'P 1'
_symmetry_Int_Tables_number 1
loop_
_symmetry_equiv_pos_as_xyz
'x,y,z'
loop_
_atom_site_label
_atom_site_fract_x
_atom_site_fract_y
_atom_site_fract_z
Y1 0.500 0.500 0.500
Sc1 0.920 0.920 0.920
Sc2 0.080 0.080 0.080
V1 0.000 0.000 0.000
```

ΔE_f: 2.272 eV/f.u.
space group: R-3m, No. 166
crystal system: trigonal
final energy: -6.493 eV/atom
total magnetization: 2.51 Bohr magnetons per cell
calculated density: 3.957 Mg/m³

Entry 4:
The following is a DFT calculation (PBE) of a relaxed structure of AcCeGeBi.

Cell and atoms, written as CIF:
```
data_AcCeGeBi
_cell_length_a 5.575
_cell_length_b 5.575
_cell_length_c 5.575
_cell_angle_alpha 60.00
_cell_angle_beta 60.00
_cell_angle_gamma 60.00
_symmetry_space_group_name_H-M 'P 1'
_symmetry_Int_Tables_number 1
loop_
_symmetry_equiv_pos_as_xyz
'x,y,z'
loop_
_atom_site_label
_atom_site_fract_x
_atom_site_fract_y
_atom_site_fract_z
Ac1 0.500 0.500 0.500
Ge1 0.250 0.250 0.250
Bi1 0.750 0.750 0.750
Ce1 0.000 0.000 0.000
```

ΔE_f: -2.053 eV/f.u.
space group: F-43m, No. 216
crystal system: cubic
final energy: -5.148 eV/atom
total magnetization: 1.07 Bohr magnetons per cell
calculated density: 8.792 Mg/m³

Entry 5:
The following is a DFT calculation (PBE) of a relaxed structure of BaNdSm.

Cell and atoms, written as CIF:
```
data_BaNdSm
_cell_length_a 3.833
_cell_length_b 3.833
_cell_length_c 9.566
_cell_angle_alpha 90.00
_cell_angle_beta 90.00
_cell_angle_gamma 120.00
_symmetry_space_group_name_H-M 'P 1'
_symmetry_Int_Tables_number 1
loop_
_symmetry_equiv_pos_as_xyz
'x,y,z'
loop_
_atom_site_label
_atom_site_fract_x
_atom_site_fract_y
_atom_site_fract_z
Nd1 0.667 0.333 0.354
Ba1 0.000 0.000 0.999
Sm1 0.333 0.667 0.647
```

ΔE_f: 0.449 eV/f.u.
space group: P3m1, No. 156
crystal system: trigonal
final energy: -3.653 eV/atom
total magnetization: 0.00 Bohr magnetons per cell
calculated density: 5.893 Mg/m³

Entry 6:
The following is a DFT calculation (PBE) of a relaxed structure of Co2SiAu.

Cell and atoms, written as CIF:
```
data_Co2SiAu
_cell_length_a 4.397
_cell_length_b 4.397
_cell_length_c 4.615
_cell_angle_alpha 78.70
_cell_angle_beta 78.70
_cell_angle_gamma 36.95
_symmetry_space_group_name_H-M 'P 1'
_symmetry_Int_Tables_number 1
loop_
_symmetry_equiv_pos_as_xyz
'x,y,z'
loop_
_atom_site_label
_atom_site_fract_x
_atom_site_fract_y
_atom_site_fract_z
Au1 0.247 0.247 0.246
Co1 0.009 0.009 0.951
Co2 0.755 0.755 0.747
Si1 0.489 0.489 0.555
```

space group: Cm, No. 8
crystal system: monoclinic
final energy: -5.687 eV/atom
ΔE_f (raw): 0.041 eV/atom
total magnetization: 2.30 Bohr magnetons per cell
calculated density: 10.851 Mg/m³

Entry 7:
The following is a DFT calculation (PBE) of a relaxed structure of POsBr2.

Cell and atoms, written as CIF:
```
data_POsBr2
_cell_length_a 9.346
_cell_length_b 9.346
_cell_length_c 9.346
_cell_angle_alpha 22.55
_cell_angle_beta 22.55
_cell_angle_gamma 22.55
_symmetry_space_group_name_H-M 'P 1'
_symmetry_Int_Tables_number 1
loop_
_symmetry_equiv_pos_as_xyz
'x,y,z'
loop_
_atom_site_label
_atom_site_fract_x
_atom_site_fract_y
_atom_site_fract_z
Br1 0.967 0.967 0.967
Br2 0.533 0.533 0.533
Os1 0.250 0.250 0.250
P1 0.750 0.750 0.750
```

space group: R-3m, No. 166
crystal system: trigonal
final energy: -3.905 eV/atom
ΔE_f (raw): 1.091 eV/atom
total magnetization: 1.32 Bohr magnetons per cell
calculated density: 6.006 Mg/m³

Entry 8:
The following is a DFT calculation (PBE) of a relaxed structure of MnNiH.

Cell and atoms, written as CIF:
```
data_MnNiH
_cell_length_a 5.081
_cell_length_b 2.477
_cell_length_c 8.283
_cell_angle_alpha 90.00
_cell_angle_beta 90.00
_cell_angle_gamma 90.00
_symmetry_space_group_name_H-M 'P 1'
_symmetry_Int_Tables_number 1
loop_
_symmetry_equiv_pos_as_xyz
'x,y,z'
loop_
_atom_site_label
_atom_site_fract_x
_atom_site_fract_y
_atom_site_fract_z
Ni1 0.377 0.250 0.391
Ni2 0.123 0.750 0.891
Ni3 0.623 0.750 0.609
Ni4 0.877 0.250 0.109
Mn1 0.874 0.250 0.413
Mn2 0.626 0.750 0.913
Mn3 0.126 0.750 0.587
Mn4 0.374 0.250 0.087
H1 0.110 0.250 0.741
H2 0.390 0.750 0.241
H3 0.890 0.750 0.259
H4 0.610 0.250 0.759
```

space group: Pnma, No. 62
crystal system: orthorhombic
final energy: -5.892 eV/atom
total magnetization: 0.00 Bohr magnetons per cell
calculated density: 7.305 Mg/m³